[1]
## Y2CoNi (PBE)

Data for a geometry-optimized Y2CoNi structure.

Cell lengths 6.3530, 6.3530, 6.3530 Å; angles 147.49, 142.90, 50.14 degrees
Fractional positions:
1 Y 0.0000 0.0000 0.0000
2 Y 0.7326 0.2326 0.5000
3 Co 0.3030 0.8030 0.5000
4 Ni 0.4350 0.4350 0.0000

## Properties
Uncorrected energy (eV per atom): -6.574
Space-group type: Imm2
D(E_F) (states/eV/f.u.): 3.3


[2]
## SiTc2Ru (PBE)

Data for a geometry-optimized SiTc2Ru structure.

Cell lengths 2.7399, 2.7399, 8.3431 Å; angles 90.00, 90.00, 115.37 degrees
Fractional positions:
1 Si 0.0000 0.0000 0.0000
2 Tc 0.0000 0.0000 0.4984
3 Tc 0.5000 0.5000 0.7611
4 Ru 0.5000 0.5000 0.2240

## Properties
Uncorrected energy (eV per atom): -8.748
Space-group type: Cmm2
Formation energy without anion corrections (eV/atom): 0.11
D(E_F) (states/eV/f.u.): 4.4


[3]
## Ag3Pd12Rh (PBE)

Data for a geometry-optimized Ag3Pd12Rh structure.

Cell lengths 3.9750, 3.9750, 15.9132 Å; angles 90.00, 90.00, 90.00 degrees
Fractional positions:
1 Ag 0.0000 0.0000 0.0000
2 Ag 0.0000 0.0000 0.2520
3 Ag 0.0000 0.0000 0.7480
4 Pd 0.0000 0.5000 0.1260
5 Pd 0.0000 0.5000 0.3791
6 Pd 0.0000 0.5000 0.6209
7 Pd 0.0000 0.5000 0.8740
8 Pd 0.5000 0.0000 0.1260
9 Pd 0.5000 0.0000 0.3791
10 Pd 0.5000 0.0000 0.6209
11 Pd 0.5000 0.0000 0.8740
12 Pd 0.5000 0.5000 0.0000
13 Pd 0.5000 0.5000 0.2522
14 Pd 0.5000 0.5000 0.5000
15 Pd 0.5000 0.5000 0.7478
16 Rh 0.0000 0.0000 0.5000

## Properties
Uncorrected energy (eV per atom): -4.871
Space-group type: P4/mmm
D(E_F) (states/eV/f.u.): 24.4


[4]
## RbBeGa2C (PBE)

Data for a geometry-optimized RbBeGa2C structure.

Cell lengths 4.3060, 4.3060, 6.0153 Å; angles 90.00, 90.00, 90.00 degrees
Fractional positions:
1 Rb 0.0000 0.0000 0.0000
2 Be 0.5000 0.5000 0.0000
3 Ga 0.0000 0.5000 0.5000
4 Ga 0.5000 0.0000 0.5000
5 C 0.0000 0.0000 0.5000

## Properties
Uncorrected energy (eV per atom): -2.742
Space-group type: P4/mmm
D(E_F) (states/eV/f.u.): 2.7


[5]
## ZnCr2FeBi (PBE)

Data for a geometry-optimized ZnCr2FeBi structure.

Cell lengths 5.2984, 5.2984, 5.2708 Å; angles 90.00, 90.00, 90.00 degrees
Fractional positions:
1 Zn 0.0000 0.0000 0.0000
2 Cr 0.0000 0.5000 0.5000
3 Cr 0.5000 0.0000 0.5000
4 Fe 0.5000 0.5000 0.0000
5 Bi 0.0000 0.0000 0.5000

## Properties
Uncorrected energy (eV per atom): -4.870
Space-group type: P4/mmm
D(E_F) (states/eV/f.u.): 4.7


[6]
## Ce4TmTl3 (PBE)

Data for a geometry-optimized Ce4TmTl3 structure.

Cell lengths 10.3760, 10.3760, 4.4713 Å; angles 102.40, 102.40, 27.13 degrees
Fractional positions:
1 Ce 0.1368 0.1368 0.1358
2 Ce 0.2300 0.2300 0.7309
3 Ce 0.7700 0.7700 0.2691
4 Ce 0.8632 0.8632 0.8642
5 Tm 0.0000 0.0000 0.5000
6 Tl 0.3787 0.3787 0.3796
7 Tl 0.5000 0.5000 0.0000
8 Tl 0.6213 0.6213 0.6204

## Properties
Uncorrected energy (eV per atom): -4.572
Space-group type: C2/m
D(E_F) (states/eV/f.u.): 16.3


[7]
## PmSmY3Tm (PBE)

Data for a geometry-optimized PmSmY3Tm structure.

Cell lengths 8.0092, 8.0092, 10.1296 Å; angles 90.00, 90.00, 143.16 degrees
Fractional positions:
1 Pm 0.0008 0.9992 0.7500
2 Pm 0.9992 0.0008 0.2500
3 Sm 0.5000 0.5000 0.0000
4 Sm 0.5000 0.5000 0.5000
5 Y 0.1671 0.8329 0.9997
6 Y 0.1671 0.8329 0.5003
7 Y 0.3322 0.6678 0.7500
8 Y 0.6678 0.3322 0.2500
9 Y 0.8329 0.1671 0.0003
10 Y 0.8329 0.1671 0.4997
11 Tm 0.3330 0.6670 0.2500
12 Tm 0.6670 0.3330 0.7500

## Properties
Uncorrected energy (eV per atom): -5.534
Space-group type: Cmcm
D(E_F) (states/eV/f.u.): 8.7


[8]
## Li4Ir (PBE)

Data for a geometry-optimized Li4Ir structure.

Cell lengths 4.6757, 4.6757, 4.6757 Å; angles 123.74, 123.74, 83.64 degrees
Fractional positions:
1 Li 0.1459 0.1459 0.0000
2 Li 0.2500 0.7500 0.5000
3 Li 0.7500 0.2500 0.5000
4 Li 0.8541 0.8541 0.0000
5 Ir 0.5000 0.5000 0.0000

## Properties
Uncorrected energy (eV per atom): -3.074
ΔE to the lowest computed polymorph (meV/atom): 286
Space-group type: I4/mmm
D(E_F) (states/eV/f.u.): 1.9


[9]
## Y2CdH2 (PBE)

Data for a geometry-optimized Y2CdH2 structure.

Cell lengths 6.6486, 6.6486, 6.6486 Å; angles 146.95, 146.95, 47.43 degrees
Fractional positions:
1 Y 0.1520 0.1520 0.0000
2 Y 0.8480 0.8480 0.0000
3 Cd 0.5000 0.5000 0.0000
4 H 0.2500 0.7500 0.5000
5 H 0.7500 0.2500 0.5000

## Properties
Uncorrected energy (eV per atom): -4.703
ΔE to the lowest computed polymorph (meV/atom): 0
Space-group type: I4/mmm
D(E_F) (states/eV/f.u.): 3.2


[10]
## ScZn2Au2 (PBE)

Data for a geometry-optimized ScZn2Au2 structure.

Cell lengths 7.1278, 7.1278, 7.1278 Å; angles 149.75, 149.75, 43.30 degrees
Fractional positions:
1 Sc 0.0000 0.0000 0.0000
2 Zn 0.2500 0.7500 0.5000
3 Zn 0.7500 0.2500 0.5000
4 Au 0.3966 0.3966 0.0000
5 Au 0.6034 0.6034 0.0000

## Properties
Uncorrected energy (eV per atom): -3.533
ΔE to the lowest computed polymorph (meV/atom): 24
Space-group type: I4/mmm
D(E_F) (states/eV/f.u.): 2.1


[11]
## K2LaSnS4 (PBE)

Data for a geometry-optimized K2LaSnS4 structure.

Cell lengths 8.5414, 8.5414, 8.5414 Å; angles 120.59, 119.28, 90.12 degrees
Fractional positions:
1 K 0.0000 0.0000 0.0000
2 K 0.5000 0.0000 0.0000
3 K 0.5000 0.0000 0.5000
4 K 0.5000 0.5000 0.5000
5 La 0.0000 0.5000 0.5000
6 La 0.5000 0.5000 0.0000
7 Sn 0.0000 0.0000 0.5000
8 Sn 0.0000 0.5000 0.0000
9 S 0.2045 0.7406 0.4640
10 S 0.2234 0.2594 0.9640
11 S 0.2323 0.2549 0.5226
12 S 0.2323 0.7097 0.9774
13 S 0.7677 0.2903 0.0226
14 S 0.7677 0.7451 0.4774
15 S 0.7766 0.7406 0.0360
16 S 0.7955 0.2594 0.5360

## Properties
Uncorrected energy (eV per atom): -4.741
Space-group type: Imma
Formation energy without anion corrections (eV/atom): -1.29
D(E_F) (states/eV/f.u.): 3.3


[12]
## TbTi4 (PBE)

Data for a geometry-optimized TbTi4 structure.

Cell lengths 4.7902, 4.7902, 4.7902 Å; angles 90.00, 90.00, 90.00 degrees
Fractional positions:
1 Tb 0.0000 0.0000 0.0000
2 Ti 0.0000 0.0000 0.5000
3 Ti 0.0000 0.5000 0.0000
4 Ti 0.5000 0.0000 0.0000
5 Ti 0.5000 0.5000 0.5000

## Properties
Uncorrected energy (eV per atom): -5.814
Space-group type: Pm-3m
D(E_F) (states/eV/f.u.): 9.4


[13]
## Sc2FeSiC (PBE)

Data for a geometry-optimized Sc2FeSiC structure.

Cell lengths 4.4820, 4.4820, 3.7015 Å; angles 90.00, 90.00, 90.00 degrees
Fractional positions:
1 Sc 0.0000 0.5000 0.0000
2 Sc 0.5000 0.0000 0.0000
3 Fe 0.0000 0.0000 0.5000
4 Si 0.5000 0.5000 0.5000
5 C 0.0000 0.0000 0.0000

## Properties
Uncorrected energy (eV per atom): -7.609
Space-group type: P4/mmm
Formation energy without anion corrections (eV/atom): -0.45
D(E_F) (states/eV/f.u.): 2.6


[14]
## La3AuO (PBE)

Data for a geometry-optimized La3AuO structure.

Cell lengths 3.5583, 8.1499, 8.1499 Å; angles 55.44, 90.00, 90.00 degrees
Fractional positions:
1 La 0.0000 0.0000 0.0000
2 La 0.5000 0.0353 0.5873
3 La 0.5000 0.5873 0.0353
4 Au 0.5000 0.1666 0.1666
5 O 0.0000 0.8101 0.8101

## Properties
Uncorrected energy (eV per atom): -5.457
ΔE to the lowest computed polymorph (meV/atom): 607
Space-group type: Amm2
Formation energy without anion corrections (eV/atom): -0.85
D(E_F) (states/eV/f.u.): 6.5


[15]
## PuPa2CoN4 (PBE)

Data for a geometry-optimized PuPa2CoN4 structure.

Cell lengths 5.9750, 5.9750, 11.3899 Å; angles 90.00, 90.00, 146.48 degrees
Fractional positions:
1 Pu 0.1103 0.8897 0.7500
2 Pu 0.8897 0.1103 0.2500
3 Pa 0.3687 0.6313 0.5619
4 Pa 0.3687 0.6313 0.9381
5 Pa 0.6313 0.3687 0.0619
6 Pa 0.6313 0.3687 0.4381
7 Co 0.1614 0.8386 0.2500
8 Co 0.8386 0.1614 0.7500
9 N 0.0000 0.0000 0.0000
10 N 0.0000 0.0000 0.5000
11 N 0.2719 0.7281 0.1162
12 N 0.2719 0.7281 0.3838
13 N 0.4497 0.5503 0.7500
14 N 0.5503 0.4497 0.2500
15 N 0.7281 0.2719 0.6162
16 N 0.7281 0.2719 0.8838

## Properties
Uncorrected energy (eV per atom): -10.456
Space-group type: Cmcm
Formation energy without anion corrections (eV/atom): -1.24
D(E_F) (states/eV/f.u.): 11.6


[16]
## KCe2TaO8 (PBE)

Data for a geometry-optimized KCe2TaO8 structure.

Cell lengths 4.8779, 4.8779, 8.0696 Å; angles 90.77, 90.77, 90.53 degrees
Fractional positions:
1 K 0.0000 0.0000 0.0000
2 Ce 0.4880 0.4880 0.7159
3 Ce 0.5120 0.5120 0.2841
4 Ta 0.0000 0.0000 0.5000
5 O 0.1808 0.7935 0.3136
6 O 0.2065 0.8192 0.6864
7 O 0.2913 0.2913 0.4916
8 O 0.3928 0.3928 0.0011
9 O 0.6072 0.6072 0.9989
10 O 0.7087 0.7087 0.5084
11 O 0.7935 0.1808 0.3136
12 O 0.8192 0.2065 0.6864

## Properties
Uncorrected energy (eV per atom): -8.015
Space-group type: C2/m
Formation energy without anion corrections (eV/atom): -2.64


[17]
## Mn2TcSe (PBE)

Data for a geometry-optimized Mn2TcSe structure.

Cell lengths 4.7496, 4.7496, 4.7496 Å; angles 134.17, 134.17, 66.82 degrees
Fractional positions:
1 Mn 0.2500 0.7500 0.5000
2 Mn 0.7500 0.2500 0.5000
3 Tc 0.0000 0.0000 0.0000
4 Se 0.5000 0.5000 0.0000

## Properties
Uncorrected energy (eV per atom): -7.705
Space-group type: I4/mmm
Formation energy without anion corrections (eV/atom): 0.34
D(E_F) (states/eV/f.u.): 4.4


[18]
## K7Rb12Ag (PBE)

Data for a geometry-optimized K7Rb12Ag structure.

Cell lengths 15.1475, 15.1475, 15.1475 Å; angles 116.61, 116.61, 116.61 degrees
Fractional positions:
1 K 0.0000 0.0000 0.0000
2 K 0.1876 0.4037 0.4037
3 K 0.4037 0.1876 0.4037
4 K 0.4037 0.4037 0.1876
5 K 0.5963 0.5963 0.8124
6 K 0.5963 0.8124 0.5963
7 K 0.8124 0.5963 0.5963
8 Rb 0.0000 0.4109 0.5891
9 Rb 0.0000 0.5891 0.4109
10 Rb 0.0425 0.0425 0.3891
11 Rb 0.0425 0.3891 0.0425
12 Rb 0.3891 0.0425 0.0425
13 Rb 0.4109 0.0000 0.5891
14 Rb 0.4109 0.5891 0.0000
15 Rb 0.5891 0.0000 0.4109
16 Rb 0.5891 0.4109 0.0000
17 Rb 0.6109 0.9575 0.9575
18 Rb 0.9575 0.6109 0.9575
19 Rb 0.9575 0.9575 0.6109
20 Ag 0.5000 0.5000 0.5000

## Properties
Uncorrected energy (eV per atom): -1.067
Space-group type: R-3m
D(E_F) (states/eV/f.u.): 17.3


[19]
## SrCa2AlN (PBE)

Data for a geometry-optimized SrCa2AlN structure.

Cell lengths 4.9008, 4.9008, 5.3319 Å; angles 90.00, 90.00, 90.00 degrees
Fractional positions:
1 Sr 0.0000 0.0000 0.0000
2 Ca 0.0000 0.5000 0.5000
3 Ca 0.5000 0.0000 0.5000
4 Al 0.5000 0.5000 0.0000
5 N 0.0000 0.0000 0.5000

## Properties
Uncorrected energy (eV per atom): -3.970
Space-group type: P4/mmm
Formation energy without anion corrections (eV/atom): -0.42
D(E_F) (states/eV/f.u.): 5.0


[20]
## KNa4Tl2 (PBE)

Data for a geometry-optimized KNa4Tl2 structure.

Cell lengths 8.7624, 8.7624, 5.6374 Å; angles 90.00, 90.00, 142.94 degrees
Fractional positions:
1 K 0.0000 0.0000 0.0000
2 Na 0.1880 0.8120 0.5000
3 Na 0.3217 0.6783 0.0000
4 Na 0.6783 0.3217 0.0000
5 Na 0.8120 0.1880 0.5000
6 Tl 0.4105 0.5895 0.5000
7 Tl 0.5895 0.4105 0.5000

## Properties
Uncorrected energy (eV per atom): -1.616
ΔE to the lowest computed polymorph (meV/atom): 32
Space-group type: Cmmm
D(E_F) (states/eV/f.u.): 3.7